1.
Material: ScSi2W
Method: DFT, GGA-PBE
State: relaxed

## Properties
formation energy without anion corrections: -0.316 eV per atom
E above lowest polymorph: 0.275 eV/f.u.
spin magnetization: 0.0 μB per formula unit
space-group type: C2/m (12)

The structure in extended XYZ format:
```
4
Lattice="-0.0582 -4.3892 0.8015 -0.4810 -3.5880 -2.6088 4.4292 -1.9716 -1.0123" Properties=species:S:1:pos:R:3 pbc="T T T"
Sc 0.9725 -2.4872 -0.7049
Si 4.0860 -1.9105 -0.9554
Si 2.2883 -5.0354 -1.4667
W 2.9175 -7.4615 -2.1147
```

2.
Material: KLiS2I
Method: DFT, GGA-PBE
State: relaxed

## Properties
formation energy without anion corrections: -0.249 eV per atom
spin magnetization: 0.0 μB per formula unit
space-group type: P4/mmm (123)

The structure in extended XYZ format:
```
5
Lattice="-3.8671 3.0433 2.5628 -3.4480 -1.8958 -2.9517 -0.8384 -4.1170 3.6237" Properties=species:S:1:pos:R:3 pbc="T T T"
I 0.0000 0.0000 0.0000
K -4.0768 -1.4848 1.6174
S -0.4192 -2.0585 1.8119
S -1.9336 1.5216 1.2814
Li -1.7240 -0.9479 -1.4758
```

3.
Material: SrPdO3
Method: DFT, GGA-PBE
State: relaxed

## Properties
formation energy without anion corrections: -1.338 eV per atom
spin magnetization: 0.0 μB per formula unit
space-group type: Cmmm (65)

The structure in extended XYZ format:
```
10
Lattice="-0.3438 4.5653 -4.6616 -2.6518 -3.2509 -5.9451 -3.1846 -0.3568 -0.1117" Properties=species:S:1:pos:R:3 pbc="T T T"
Sr -3.7084 1.3582 -7.3819
Sr -2.2105 0.7011 -2.0786
Pd -3.5363 -0.9245 -5.0511
Pd -0.7901 3.1621 -4.3536
O -1.9238 -1.3013 -3.7947
O -3.3019 -2.6672 -6.1096
O -5.1490 -0.5477 -6.3075
O -5.0974 -0.1119 -9.0424
O -3.7708 0.8183 -3.9927
O -2.3192 2.8285 -5.7217
```

4.
Material: Na2CdSnF6
Method: DFT, GGA-PBE
State: relaxed

## Properties
formation energy without anion corrections: -2.431 eV per atom
spin magnetization: 0.0 μB per formula unit
space-group type: R3 (146)

The structure in extended XYZ format:
```
10
Lattice="5.9665 0.0008 0.0004 2.9839 5.1668 0.0003 2.9842 1.7232 5.1189" Properties=species:S:1:pos:R:3 pbc="T T T"
Na 5.9675 3.4453 2.1669
Na 2.9843 1.7232 4.7386
Cd 2.9834 1.7224 0.3025
Sn 8.9506 5.1679 2.9436
F 5.0082 1.4820 1.3154
F 4.7456 5.2567 1.3154
F 8.1476 3.5970 1.3164
F 6.7445 4.9540 3.8585
F 6.8854 2.0181 3.8592
F 4.2721 3.3646 3.8591
```

5.
Material: PmNdPb
Method: DFT, GGA-PBE
State: relaxed

## Properties
E above lowest polymorph: 0.577 eV/f.u.
energy relative to the elements: -265 meV/atom
spin magnetization: 0.1 μB per formula unit
space-group type: F-43m (216)

The structure in extended XYZ format:
```
3
Lattice="-0.3848 3.2598 -4.2155 -2.1835 -1.7601 -4.5475 -4.7814 1.8153 -1.5455" Properties=species:S:1:pos:R:3 pbc="T T T"
Pb -1.8374 0.8288 -2.5771
Nd 0.0000 0.0000 0.0000
Pm -3.6748 1.6575 -5.1542
```

6.
Material: RuC
Method: DFT, GGA-PBE
State: relaxed

## Properties
E above lowest polymorph: 0.977 eV/f.u.
energy relative to the elements: 854 meV/atom
spin magnetization: 0.0 μB per formula unit
space-group type: R-3m (166)

The structure in extended XYZ format:
```
4
Lattice="5.6367 -0.0250 -0.0153 4.6835 3.1371 -0.0152 4.6835 1.4123 2.8013" Properties=species:S:1:pos:R:3 pbc="T T T"
Ru 6.9669 2.1009 1.2866
Ru 4.2859 1.2925 0.7915
C 14.4112 4.3458 2.6614
C 11.8452 3.5720 2.1875
```

7.
Material: Li2Mg2Te
Method: DFT, GGA-PBE
State: relaxed

## Properties
formation energy without anion corrections: -0.246 eV per atom
E above lowest polymorph: 0.000 eV/f.u.
spin magnetization: 0.0 μB per formula unit
space-group type: P4/mbm (127)

The structure in extended XYZ format:
```
10
Lattice="7.0179 0.0000 0.0000 0.0000 7.0179 0.0000 0.0000 0.0000 4.4796" Properties=species:S:1:pos:R:3 pbc="T T T"
Mg 1.1063 4.6152 2.2398
Mg 4.6152 5.9116 2.2398
Mg 5.9116 2.4027 2.2398
Mg 2.4027 1.1063 2.2398
Te 0.0000 0.0000 0.0000
Te 3.5089 3.5089 0.0000
Li 2.5106 6.0195 0.0000
Li 6.0195 4.5073 0.0000
Li 4.5073 0.9984 0.0000
Li 0.9984 2.5106 0.0000
```

8.
Material: SmPdBr
Method: DFT, GGA-PBE
State: relaxed

## Properties
formation energy without anion corrections: -0.973 eV per atom
spin magnetization: 0.0 μB per formula unit
space-group type: Fdd2 (43)

The structure in extended XYZ format:
```
12
Lattice="-6.8047 -0.8394 -2.7708 0.8652 -5.3049 5.6395 -5.2403 1.3011 5.0530" Properties=species:S:1:pos:R:3 pbc="T T T"
Br -8.2744 -1.5434 1.2100
Br -10.8958 -0.7950 3.7100
Br -6.6174 -4.2428 3.7978
Br -3.2164 -3.7253 5.1567
Sm -2.3470 -4.2694 7.9121
Sm -5.4959 -2.6131 1.5468
Sm -8.1464 0.3654 3.4425
Sm -5.7797 -2.3612 5.8958
Pd -5.4073 -0.5447 3.5752
Pd -8.3401 -3.0681 7.0326
Pd -2.7807 -1.6944 1.1840
Pd -4.9313 -3.1475 8.5533
```

9.
Material: Bi2OsPbO8
Method: DFT, GGA-PBE
State: relaxed

## Properties
formation energy without anion corrections: -1.073 eV per atom
spin magnetization: 0.0 μB per formula unit
space-group type: P2/m (10)

The structure in extended XYZ format:
```
12
Lattice="-0.5083 1.1248 -5.1021 -0.2827 -5.0921 -1.2342 -6.7483 0.2009 0.7164" Properties=species:S:1:pos:R:3 pbc="T T T"
Bi -5.4616 -1.8328 -2.6303
Bi -2.0777 -1.9336 -2.9896
Os 0.0000 0.0000 0.0000
Pb -3.3741 0.1004 0.3582
O -1.7954 -3.9368 -1.7514
O -0.5991 -3.0250 -4.7927
O -1.9441 0.0572 -4.2719
O -5.7439 0.1703 -3.8684
O -6.9402 -0.7415 -0.8271
O -5.5952 -3.8236 -1.3479
O -3.9159 -2.6285 -3.9780
O -3.6234 -1.1380 -1.6419
```

10.
Material: Sc3BiO
Method: DFT, GGA-PBE
State: relaxed

## Properties
formation energy without anion corrections: -1.327 eV per atom
E above lowest polymorph: 0.000 eV/f.u.
spin magnetization: 0.0 μB per formula unit
space-group type: Pm-3m (221)

The structure in extended XYZ format:
```
5
Lattice="-3.2592 -2.7633 -1.4602 0.8489 -2.8131 3.4287 -3.0078 2.2003 2.5499" Properties=species:S:1:pos:R:3 pbc="T T T"
Sc 0.4245 -1.4065 1.7144
Sc -1.5039 1.1001 1.2749
Sc -1.6296 -1.3816 -0.7301
Bi -2.7091 -1.6880 2.2592
O 0.0000 0.0000 0.0000
```

11.
Material: ScNb2Os2
Method: DFT, GGA-PBE
State: relaxed

## Properties
E above lowest polymorph: 0.214 eV/f.u.
energy relative to the elements: -58 meV/atom
spin magnetization: 0.0 μB per formula unit
space-group type: P4/mbm (127)

The structure in extended XYZ format:
```
10
Lattice="7.7612 0.0000 0.0000 0.0000 7.7612 0.0000 0.0000 0.0000 2.9564" Properties=species:S:1:pos:R:3 pbc="T T T"
Sc 0.0000 0.0000 0.0000
Sc 3.8806 3.8806 0.0000
Nb 2.7387 6.6193 0.0000
Nb 6.6193 5.0225 0.0000
Nb 5.0225 1.1419 0.0000
Nb 1.1419 2.7387 0.0000
Os 1.1576 5.0382 1.4782
Os 5.0382 6.6036 1.4782
Os 6.6036 2.7230 1.4782
Os 2.7230 1.1576 1.4782
```

12.
Material: KCa3Fe
Method: DFT, GGA-PBE
State: relaxed

## Properties
E above lowest polymorph: 0.000 eV/f.u.
energy relative to the elements: 336 meV/atom
spin magnetization: 1.4 μB per formula unit
space-group type: Pm-3m (221)

The structure in extended XYZ format:
```
5
Lattice="-2.6224 4.6856 -2.1088 -2.4073 -3.2120 -4.1433 -4.5395 -1.0034 3.4154" Properties=species:S:1:pos:R:3 pbc="T T T"
K -4.7846 0.2351 -1.4183
Ca -1.2037 -1.6060 -2.0716
Ca -2.2697 -0.5017 1.7077
Ca -1.3112 2.3428 -1.0544
Fe 0.0000 0.0000 0.0000
```

no.,VASP energy (Ry/atom)
1,-0.5768
2,-0.2067
3,-0.4181
4,-0.3167
5,-0.3436
6,-0.6171
7,-0.1674
8,-0.3553
9,-0.4608
10,-0.5067
11,-0.7235
12,-0.2041